DFT (PBE with a Hubbard U) results for a relaxed structure of NaVAg2F8.

Cell lengths 5.108, 5.281, 7.001 Å; angles 89.99, 90.01, 94.98 degrees
Each line ends with the local moment (μB).
Fractional coordinates of all 12 atoms:
Na 0.000 0.000 0.500  0.00
V 0.000 0.000 0.000  1.02
Ag 0.500 0.500 0.752  0.30
Ag 0.500 0.500 0.248  0.30
F 0.175 0.844 0.195  -0.01
F 0.728 0.715 0.000  0.04
F 0.825 0.156 0.195  -0.01
F 0.825 0.156 0.805  -0.01
F 0.272 0.285 0.000  0.04
F 0.175 0.844 0.805  -0.01
F 0.692 0.682 0.500  0.13
F 0.308 0.318 0.500  0.13

Output
Its magnetic moment is 2.0 μB/cell. The calculation puts the total energy at -4.52 eV per atom.